Record 1
The following is a PBE calculation of a geometry-optimized Cs2KBaCl5 structure, from Alexandria via LeMat-Bulk.

Unit cell a=4.803 b=19.786 c=15.661 alpha=90.00 beta=90.00 gamma=90.00
Space group Cmc2_1 (No. 36)
One atom of each set of equivalent atoms:
Cs  0.000  0.083  0.000 [4 per cell]
Cs  0.000  0.134  0.628 [4 per cell]
K  0.000  0.461  0.791 [4 per cell]
Ba  0.000  0.228  0.360 [4 per cell]
Cl  0.000  0.077  0.400 [4 per cell]
Cl  0.000  0.261  0.990 [4 per cell]
Cl  0.000  0.299  0.739 [4 per cell]
Cl  0.000  0.381  0.330 [4 per cell]
Cl  0.000  0.494  0.108 [4 per cell]

Output
Energy relative to the elements, uncorrected in eV per atom: -2.120
Magnetization in Bohr magnetons per cell: 0.7

Record 2
The following is a PBE calculation of a geometry-optimized BaGeOs3 structure, from Alexandria via LeMat-Bulk.

Unit cell a=4.743 b=4.743 c=4.743 alpha=90.00 beta=90.00 gamma=90.00
Space group Pm-3m (No. 221)
One atom of each set of equivalent atoms:
Ba  0.000  0.000  0.000 [1 per cell]
Ge  0.500  0.500  0.500 [1 per cell]
Os  0.000  0.500  0.500 [3 per cell]

Output
DFT formation energy in eV per atom: 1.350
Magnetization in Bohr magnetons per cell: 1.2
Energy above the most stable polymorph in this dataset in kJ/mol of atoms: 0.0

Record 3
The following is a PBE calculation of a geometry-optimized Ce2Nd2Se7 structure, from Alexandria via LeMat-Bulk.

Unit cell a=4.178 b=14.847 c=9.210 alpha=90.00 beta=90.00 gamma=90.00
Space group Imm2 (No. 44)
One atom of each set of equivalent atoms:
Ce  0.000  0.240  0.000 [4 per cell]
Nd  0.000  0.000  0.756 [2 per cell]
Nd  0.000  0.500  0.803 [2 per cell]
Se  0.000  0.000  0.075 [2 per cell]
Se  0.000  0.113  0.479 [4 per cell]
Se  0.000  0.314  0.695 [4 per cell]
Se  0.000  0.358  0.309 [4 per cell]

Output
Energy relative to the elements, uncorrected in eV per atom: -1.716
Magnetization in Bohr magnetons per cell: 0.7

Record 4
The following is a PBE calculation of a geometry-optimized PaGaBi structure, from Alexandria via LeMat-Bulk.

Unit cell a=4.2386 b=4.2386 c=31.6480 alpha=90.00 beta=90.00 gamma=120.00
Space group R-3m (No. 166, hexagonal axes)
One atom of each set of equivalent atoms:
Pa  0.0000  0.0000  0.1876 [6 per cell]
Ga  0.0000  0.0000  0.0901 [6 per cell]
Bi  0.0000  0.0000  0.3802 [6 per cell]

Output
DFT formation energy in eV per atom: 0.113
Magnetization in Bohr magnetons per cell: 0.0
Energy above the most stable polymorph in this dataset in kJ/mol of atoms: 26.0

Record 5
The following is a PBE calculation of a geometry-optimized Mn2CuPt2 structure, from Alexandria via LeMat-Bulk.

Unit cell a=7.357 b=7.357 c=2.890 alpha=90.00 beta=90.00 gamma=90.00
Space group P4/mbm (No. 127)
One atom of each set of equivalent atoms:
Mn  0.158  0.342  0.000 [4 per cell]
Cu  0.000  0.000  0.500 [2 per cell]
Pt  0.140  0.640  0.500 [4 per cell]

Output
DFT formation energy in eV per atom: -0.093
Magnetization in Bohr magnetons per cell: 16.1

Record 6
The following is a PBE calculation of a geometry-optimized Nd2NiSn4Au3 structure, from Alexandria via LeMat-Bulk.

Unit cell a=4.535 b=4.535 c=11.542 alpha=90.00 beta=90.00 gamma=90.00
Space group P-4m2 (No. 115)
One atom of each set of equivalent atoms:
Nd  0.000  0.500  0.222 [2 per cell]
Ni  0.500  0.500  0.000 [1 per cell]
Sn  0.000  0.000  0.500 [1 per cell]
Sn  0.000  0.500  0.878 [2 per cell]
Sn  0.500  0.500  0.500 [1 per cell]
Au  0.000  0.000  0.000 [1 per cell]
Au  0.000  0.500  0.648 [2 per cell]

Output
DFT formation energy in eV per atom: -0.510
Magnetization in Bohr magnetons per cell: 0.0

Record 7
The following is a PBE calculation of a geometry-optimized Nb4Ir3Ru structure, from Alexandria via LeMat-Bulk.

Unit cell a=3.845 b=4.096 c=8.199 alpha=90.00 beta=90.00 gamma=90.00
Space group Pmmm (No. 47)
One atom of each set of equivalent atoms:
Nb  0.000  0.000  0.000 [1 per cell]
Nb  0.000  0.000  0.500 [1 per cell]
Nb  0.000  0.500  0.250 [2 per cell]
Ir  0.500  0.000  0.248 [2 per cell]
Ir  0.500  0.500  0.000 [1 per cell]
Ru  0.500  0.500  0.500 [1 per cell]

Output
DFT formation energy in eV per atom: -0.426
Magnetization in Bohr magnetons per cell: 0.0

Record 8
The following is a PBE calculation of a geometry-optimized Dy2ErOs structure, from Alexandria via LeMat-Bulk.

Unit cell a=3.989 b=11.767 c=8.965 alpha=90.00 beta=90.00 gamma=90.00
Space group Cmcm (No. 63)
One atom of each set of equivalent atoms:
Dy  0.000  0.144  0.065 [8 per cell]
Er  0.000  0.425  0.250 [4 per cell]
Os  0.000  0.241  0.750 [4 per cell]

Output
DFT formation energy in eV per atom: -0.250
Magnetization in Bohr magnetons per cell: 0.0
Energy above the most stable polymorph in this dataset in kJ/mol of atoms: 1.8